No. 1
A plane-wave DFT calculation with GGA-PBE was carried out for a relaxed FeTcB2 crystal.

## Properties
Calculated volume = 167.39 Å³ per cell
Formation energy from the elements = 0.521 eV per atom
Distance to the lowest polymorph of the same formula = 564 meV/atom
Uncorrected energy = -0.2765 Ha/atom

abc: 3.4493 3.4493 14.0691
angles: 90.00 90.00 90.00
Last column: nearest neighbours and their distance in Å.
Fractional coordinates of all 16 atoms:
Fe 0.0000 0.0000 0.0000  4 B 1.97
Fe 0.0000 0.5000 0.2500  4 B 1.97
Fe 0.5000 0.0000 0.7500  4 B 1.97
Fe 0.5000 0.5000 0.5000  4 B 1.97
Tc 0.0000 0.0000 0.5000  4 Fe 2.44, 4 B 2.46
Tc 0.0000 0.5000 0.7500  4 Fe 2.44, 4 B 2.46
Tc 0.5000 0.0000 0.2500  4 Fe 2.44, 4 B 2.46
Tc 0.5000 0.5000 0.0000  4 Fe 2.44, 4 B 2.46
B 0.0703 0.2500 0.1250  2 B 1.79, 2 Fe 1.97
B 0.2500 0.5703 0.3750  2 B 1.79, 2 Fe 1.97
B 0.2500 0.9297 0.8750  2 B 1.79, 2 Fe 1.97
B 0.4297 0.2500 0.6250  2 B 1.79, 2 Fe 1.97
B 0.5703 0.7500 0.6250  2 B 1.79, 2 Fe 1.97
B 0.7500 0.0703 0.8750  2 B 1.79, 2 Fe 1.97
B 0.7500 0.4297 0.3750  2 B 1.79, 2 Fe 1.97
B 0.9297 0.7500 0.1250  2 B 1.79, 2 Fe 1.97

No. 2
A plane-wave DFT calculation with GGA-PBE was carried out for a relaxed MnNbCo3 crystal.

## Properties
Calculated volume = 70.60 Å³ per cell
Formation energy from the elements = 0.987 eV per atom
Uncorrected energy = -0.2618 Ha/atom

abc: 4.1329 4.1329 4.1329
angles: 90.00 90.00 90.00
Last column: nearest neighbours and their distance in Å.
Fractional coordinates of all 5 atoms:
Mn 0.0000 0.0000 0.0000  6 Co 2.07
Nb 0.5000 0.5000 0.5000  12 Co 2.92
Co 0.0000 0.0000 0.5000  2 Mn 2.07
Co 0.0000 0.5000 0.0000  2 Mn 2.07
Co 0.5000 0.0000 0.0000  2 Mn 2.07

No. 3
A plane-wave DFT calculation with GGA-PBE was carried out for a relaxed Cd2InHg2 crystal.

## Properties
Calculated volume = 256.60 Å³ per cell
Formation energy from the elements = 0.042 eV per atom
Distance to the lowest polymorph of the same formula = 23 meV/atom
Uncorrected energy = -0.0365 Ha/atom

abc: 8.3373 8.3373 3.6916
angles: 90.00 90.00 90.00
Last column: nearest neighbours and their distance in Å.
Fractional coordinates of all 10 atoms:
Cd 0.1270 0.3730 0.0000  6 Hg 2.99-3.14, 1 Cd 2.99, 2 In 3.29
Cd 0.3730 0.8730 0.0000  6 Hg 2.99-3.14, 1 Cd 2.99, 2 In 3.29
Cd 0.6270 0.1270 0.0000  6 Hg 2.99-3.14, 1 Cd 2.99, 2 In 3.29
Cd 0.8730 0.6270 0.0000  6 Hg 2.99-3.14, 1 Cd 2.99, 2 In 3.29
In 0.0000 0.0000 0.0000  4 Cd 3.29, 8 Hg 3.59
In 0.5000 0.5000 0.0000  4 Cd 3.29, 8 Hg 3.59
Hg 0.1740 0.6740 0.5000  6 Cd 2.99-3.14
Hg 0.3260 0.1740 0.5000  6 Cd 2.99-3.14
Hg 0.6740 0.8260 0.5000  6 Cd 2.99-3.14
Hg 0.8260 0.3260 0.5000  6 Cd 2.99-3.14

No. 4
A plane-wave DFT calculation with GGA-PBE was carried out for a relaxed BeFeNiPt crystal.

## Properties
Calculated volume = 190.75 Å³ per cell
Formation energy from the elements = -0.254 eV per atom
Uncorrected energy = -0.2299 Ha/atom

abc: 5.7565 5.7565 5.7565
angles: 90.00 90.00 90.00
Last column: nearest neighbours and their distance in Å.
Fractional coordinates of all 16 atoms:
Be 0.0000 0.0000 0.0000  4 Ni 2.49, 4 Pt 2.49
Be 0.0000 0.5000 0.5000  4 Ni 2.49, 4 Pt 2.49
Be 0.5000 0.0000 0.5000  4 Ni 2.49, 4 Pt 2.49
Be 0.5000 0.5000 0.0000  4 Ni 2.49, 4 Pt 2.49
Fe 0.0000 0.0000 0.5000  4 Ni 2.49, 4 Pt 2.49
Fe 0.0000 0.5000 0.0000  4 Ni 2.49, 4 Pt 2.49
Fe 0.5000 0.0000 0.0000  4 Ni 2.49, 4 Pt 2.49
Fe 0.5000 0.5000 0.5000  4 Ni 2.49, 4 Pt 2.49
Ni 0.2500 0.2500 0.7500  4 Fe 2.49, 4 Be 2.49
Ni 0.2500 0.7500 0.2500  4 Fe 2.49, 4 Be 2.49
Ni 0.7500 0.2500 0.2500  4 Fe 2.49, 4 Be 2.49
Ni 0.7500 0.7500 0.7500  4 Fe 2.49, 4 Be 2.49
Pt 0.2500 0.2500 0.2500  4 Fe 2.49, 4 Be 2.49
Pt 0.2500 0.7500 0.7500  4 Fe 2.49, 4 Be 2.49
Pt 0.7500 0.2500 0.7500  4 Fe 2.49, 4 Be 2.49
Pt 0.7500 0.7500 0.2500  4 Fe 2.49, 4 Be 2.49

No. 5
A plane-wave DFT calculation with GGA-PBE was carried out for a relaxed YErAlGa crystal.

## Properties
Calculated volume = 366.91 Å³ per cell
Formation energy from the elements = -0.487 eV per atom
Distance to the lowest polymorph of the same formula = 41 meV/atom
Uncorrected energy = -0.1814 Ha/atom

abc: 7.1590 7.1590 7.1590
angles: 90.00 90.00 90.00
Last column: nearest neighbours and their distance in Å.
Fractional coordinates of all 16 atoms:
Y 0.0000 0.0000 0.0000  4 Al 3.10, 4 Ga 3.10
Y 0.0000 0.5000 0.5000  4 Al 3.10, 4 Ga 3.10
Y 0.5000 0.0000 0.5000  4 Al 3.10, 4 Ga 3.10
Y 0.5000 0.5000 0.0000  4 Al 3.10, 4 Ga 3.10
Er 0.0000 0.0000 0.5000  4 Ga 3.10, 4 Al 3.10
Er 0.0000 0.5000 0.0000  4 Ga 3.10, 4 Al 3.10
Er 0.5000 0.0000 0.0000  4 Ga 3.10, 4 Al 3.10
Er 0.5000 0.5000 0.5000  4 Al 3.10, 4 Ga 3.10
Al 0.2500 0.2500 0.7500  4 Er 3.10, 4 Y 3.10
Al 0.2500 0.7500 0.2500  4 Er 3.10, 4 Y 3.10
Al 0.7500 0.2500 0.2500  4 Er 3.10, 4 Y 3.10
Al 0.7500 0.7500 0.7500  4 Y 3.10, 4 Er 3.10
Ga 0.2500 0.2500 0.2500  4 Er 3.10, 4 Y 3.10
Ga 0.2500 0.7500 0.7500  4 Er 3.10, 4 Y 3.10
Ga 0.7500 0.2500 0.7500  4 Er 3.10, 4 Y 3.10
Ga 0.7500 0.7500 0.2500  4 Er 3.10, 4 Y 3.10

No. 6
A plane-wave DFT calculation with GGA-PBE was carried out for a relaxed K2Ag2GeBr6 crystal.

## Properties
Calculated volume = 375.55 Å³ per cell
Raw formation energy = -0.880 eV per atom
Uncorrected energy = -0.1077 Ha/atom

abc: 8.0351 8.0351 7.7776
angles: 115.53 115.53 59.48
Last column: nearest neighbours and their distance in Å.
Fractional coordinates of all 11 atoms:
K 0.2371 0.2371 0.1816  5 Br 3.27-3.40
K 0.7629 0.7629 0.8184  5 Br 3.27-3.40
Ag 0.4362 0.4362 0.7823  3 Br 2.61-2.66
Ag 0.5638 0.5638 0.2177  3 Br 2.61-2.66
Ge 0.0000 0.0000 0.5000  6 Br 2.81-2.85
Br 0.1790 0.6923 0.1946  1 Ag 2.66, 1 Ge 2.85
Br 0.2211 0.2211 0.5868  1 Ag 2.61, 1 Ge 2.81
Br 0.3077 0.8210 0.8054  1 Ag 2.66, 1 Ge 2.85
Br 0.6923 0.1790 0.1946  1 Ag 2.66, 1 Ge 2.85
Br 0.7789 0.7789 0.4132  1 Ag 2.61, 1 Ge 2.81
Br 0.8210 0.3077 0.8054  1 Ag 2.66, 1 Ge 2.85

No. 7
A plane-wave DFT calculation with GGA-PBE was carried out for a relaxed NdY8Tm6 crystal.

## Properties
Calculated volume = 480.26 Å³ per cell
Formation energy from the elements = 0.190 eV per atom
Distance to the lowest polymorph of the same formula = 0 meV/atom
Uncorrected energy = -0.1971 Ha/atom

abc: 8.1518 8.1518 8.1518
angles: 72.64 72.64 72.64
Last column: nearest neighbours and their distance in Å.
Fractional coordinates of all 15 atoms:
Nd 0.0000 0.0000 0.0000  6 Tm 3.35, 6 Y 3.74
Y 0.0719 0.6395 0.7720  3 Tm 3.29-3.52, 2 Y 3.60
Y 0.2280 0.9281 0.3605  3 Tm 3.29-3.52, 2 Y 3.60
Y 0.3605 0.2280 0.9281  3 Tm 3.29-3.52, 2 Y 3.60
Y 0.4132 0.4132 0.4132  1 Y 3.10, 3 Tm 3.10
Y 0.5868 0.5868 0.5868  1 Y 3.10, 3 Tm 3.10
Y 0.6395 0.7720 0.0719  3 Tm 3.29-3.52, 2 Y 3.60
Y 0.7720 0.0719 0.6395  3 Tm 3.29-3.52, 2 Y 3.60
Y 0.9281 0.3605 0.2280  3 Tm 3.29-3.52, 2 Y 3.60
Tm 0.0665 0.2877 0.6085  3 Y 3.10-3.44, 1 Nd 3.35, 3 Tm 3.37-3.40
Tm 0.2877 0.6085 0.0665  3 Y 3.10-3.44, 1 Nd 3.35, 3 Tm 3.37-3.40
Tm 0.3915 0.9335 0.7123  3 Y 3.10-3.44, 1 Nd 3.35, 3 Tm 3.37-3.40
Tm 0.6085 0.0665 0.2877  3 Y 3.10-3.44, 1 Nd 3.35, 3 Tm 3.37-3.40
Tm 0.7123 0.3915 0.9335  3 Y 3.10-3.44, 1 Nd 3.35, 3 Tm 3.37-3.40
Tm 0.9335 0.7123 0.3915  3 Y 3.10-3.44, 1 Nd 3.35, 3 Tm 3.37-3.40

No. 8
A plane-wave DFT calculation with GGA-PBE was carried out for a relaxed Ba3Au crystal.

## Properties
Calculated volume = 188.86 Å³ per cell
Formation energy from the elements = -0.354 eV per atom
Uncorrected energy = -0.0961 Ha/atom

abc: 4.1527 4.1527 10.9517
angles: 90.00 90.00 90.00
Last column: nearest neighbours and their distance in Å.
Fractional coordinates of all 4 atoms:
Ba 0.0000 0.0000 0.0000  12 Ba 4.15-4.64
Ba 0.5000 0.5000 0.3278  4 Au 3.49, 1 Ba 3.77
Ba 0.5000 0.5000 0.6722  4 Au 3.49, 1 Ba 3.77
Au 0.0000 0.0000 0.5000  8 Ba 3.49

No. 9
A plane-wave DFT calculation with GGA-PBE was carried out for a relaxed Tm3Ge6Pt20 crystal.

## Properties
Calculated volume = 493.02 Å³ per cell
Formation energy from the elements = -0.585 eV per atom
Uncorrected energy = -0.2267 Ha/atom

abc: 8.8674 8.8674 8.8674
angles: 60.00 60.00 60.00
Last column: nearest neighbours and their distance in Å.
Fractional coordinates of all 29 atoms:
Tm 0.0000 0.0000 0.0000  12 Pt 3.07, 6 Ge 3.39
Tm 0.2500 0.2500 0.2500  4 Pt 2.81
Tm 0.7500 0.7500 0.7500  4 Pt 2.81
Ge 0.2700 0.2700 0.7300  8 Pt 2.49-2.54
Ge 0.2700 0.7300 0.2700  8 Pt 2.49-2.54
Ge 0.2700 0.7300 0.7300  8 Pt 2.49-2.54
Ge 0.7300 0.2700 0.2700  8 Pt 2.49-2.54
Ge 0.7300 0.2700 0.7300  8 Pt 2.49-2.54
Ge 0.7300 0.7300 0.2700  8 Pt 2.49-2.54
Pt 0.0000 0.0000 0.3459  2 Ge 2.49, 1 Pt 2.73
Pt 0.0000 0.0000 0.6541  2 Ge 2.49, 1 Pt 2.73
Pt 0.0000 0.3459 0.0000  2 Ge 2.49, 1 Pt 2.73
Pt 0.0000 0.3459 0.6541  2 Ge 2.49, 1 Pt 2.73
Pt 0.0000 0.6541 0.0000  2 Ge 2.49, 1 Pt 2.73
Pt 0.0000 0.6541 0.3459  2 Ge 2.49, 1 Pt 2.73
Pt 0.1380 0.6207 0.6207  3 Ge 2.54, 1 Tm 2.81
Pt 0.3459 0.0000 0.0000  2 Ge 2.49, 1 Pt 2.73
Pt 0.3459 0.0000 0.6541  2 Ge 2.49, 1 Pt 2.73
Pt 0.3459 0.6541 0.0000  2 Ge 2.49, 1 Pt 2.73
Pt 0.3793 0.3793 0.3793  3 Ge 2.54, 1 Tm 2.81
Pt 0.3793 0.3793 0.8620  3 Ge 2.54, 1 Tm 2.81
Pt 0.3793 0.8620 0.3793  3 Ge 2.54, 1 Tm 2.81
Pt 0.6207 0.1380 0.6207  3 Ge 2.54, 1 Tm 2.81
Pt 0.6207 0.6207 0.1380  3 Ge 2.54, 1 Tm 2.81
Pt 0.6207 0.6207 0.6207  3 Ge 2.54, 1 Tm 2.81
Pt 0.6541 0.0000 0.0000  2 Ge 2.49, 1 Pt 2.73
Pt 0.6541 0.0000 0.3459  2 Ge 2.49, 1 Pt 2.73
Pt 0.6541 0.3459 0.0000  2 Ge 2.49, 1 Pt 2.73
Pt 0.8620 0.3793 0.3793  3 Ge 2.54, 1 Tm 2.81

No. 10
A plane-wave DFT calculation with GGA-PBE was carried out for a relaxed LiCe4Th3S8 crystal.

## Properties
Calculated volume = 365.17 Å³ per cell
Raw formation energy = -1.896 eV per atom
Uncorrected energy = -0.2556 Ha/atom

abc: 8.0222 8.0222 8.0222
angles: 60.01 60.01 60.01
Last column: nearest neighbours and their distance in Å.
Fractional coordinates of all 16 atoms:
Li 0.0000 0.0000 0.0000  6 S 2.75
Ce 0.0000 0.0000 0.5000  6 S 2.83
Ce 0.0000 0.5000 0.0000  6 S 2.83
Ce 0.5000 0.0000 0.0000  6 S 2.83
Ce 0.5000 0.5000 0.5000  6 S 2.92
Th 0.0000 0.5000 0.5000  6 S 2.84-2.85
Th 0.5000 0.0000 0.5000  6 S 2.84-2.85
Th 0.5000 0.5000 0.0000  6 S 2.84-2.85
S 0.2412 0.7578 0.7578  1 Li 2.75, 3 Ce 2.83-2.92, 2 Th 2.84
S 0.2422 0.2422 0.7588  1 Li 2.75, 3 Ce 2.83-2.92, 2 Th 2.84
S 0.2422 0.7588 0.2422  1 Li 2.75, 3 Ce 2.83-2.92, 2 Th 2.84
S 0.2490 0.2490 0.2490  3 Ce 2.83, 3 Th 2.85
S 0.7510 0.7510 0.7510  3 Ce 2.83, 3 Th 2.85
S 0.7578 0.2412 0.7578  1 Li 2.75, 3 Ce 2.83-2.92, 2 Th 2.84
S 0.7578 0.7578 0.2412  1 Li 2.75, 3 Ce 2.83-2.92, 2 Th 2.84
S 0.7588 0.2422 0.2422  1 Li 2.75, 3 Ce 2.83-2.92, 2 Th 2.84